Entry 1:
The following is a PBE calculation of crystalline CeNdHoHg at its relaxed geometry, from the Alexandria database.

volume	111	Å³/f.u.
crystal system	cubic
energy of formation from the pure elements	0.008	eV per atom

Cell lengths 7.628, 7.628, 7.628 Å; angles 90.00, 90.00, 90.00 degrees
Space group F-43m (No. 216)
One atom of each set of equivalent atoms:
Ce1 0.000 0.000 0.000 (multiplicity 4)
Nd1 0.250 0.250 0.750 (multiplicity 4)
Ho1 0.250 0.250 0.250 (multiplicity 4)
Hg1 0.000 0.000 0.500 (multiplicity 4)


Entry 2:
The following is a PBE calculation of crystalline CeHoNiHg at its relaxed geometry, from the Alexandria database.

volume	94	Å³/f.u.
crystal system	cubic
energy of formation from the pure elements	-0.243	eV per atom

Cell lengths 7.213, 7.213, 7.213 Å; angles 90.00, 90.00, 90.00 degrees
Space group F-43m (No. 216)
One atom of each set of equivalent atoms:
Ce1 0.000 0.000 0.000 (multiplicity 4)
Ho1 0.000 0.000 0.500 (multiplicity 4)
Ni1 0.250 0.250 0.750 (multiplicity 4)
Hg1 0.250 0.250 0.250 (multiplicity 4)


Entry 3:
The following is a PBE calculation of crystalline CeHoHgOs at its relaxed geometry, from the Alexandria database.

volume	93	Å³/f.u.
crystal system	tetragonal
energy of formation from the pure elements	-0.344	eV per atom
energy relative to the lowest polymorph listed for this composition	0.000	eV/atom

Cell lengths 3.367, 3.367, 8.176 Å; angles 90.00, 90.00, 90.00 degrees
Space group P4mm (No. 99)
One atom of each set of equivalent atoms:
Ce1 0.000 0.000 0.000 (multiplicity 1)
Ho1 0.000 0.000 0.426 (multiplicity 1)
Hg1 0.500 0.500 0.699 (multiplicity 1)
Os1 0.500 0.500 0.215 (multiplicity 1)


Entry 4:
The following is a PBE calculation of crystalline CeHoHgOs at its relaxed geometry, from the Alexandria database.

volume	92	Å³/f.u.
crystal system	cubic
energy of formation from the pure elements	-0.193	eV per atom
energy relative to the lowest polymorph listed for this composition	0.151	eV/atom

Cell lengths 7.161, 7.161, 7.161 Å; angles 90.00, 90.00, 90.00 degrees
Space group F-43m (No. 216)
One atom of each set of equivalent atoms:
Ce1 0.000 0.000 0.000 (multiplicity 4)
Ho1 0.000 0.000 0.500 (multiplicity 4)
Hg1 0.250 0.250 0.750 (multiplicity 4)
Os1 0.250 0.250 0.250 (multiplicity 4)


Entry 5:
The following is a PBE calculation of crystalline CePmHo2Hg4 at its relaxed geometry, from the Alexandria database.

volume	214	Å³/f.u.
crystal system	trigonal
energy of formation from the pure elements	-0.420	eV per atom

Cell lengths 5.3312, 5.3312, 26.1173 Å; angles 90.00, 90.00, 120.00 degrees
Space group R-3m (No. 166, hexagonal axes)
One atom of each set of equivalent atoms:
Ce1 0.0000 0.0000 0.0000 (multiplicity 3)
Pm1 0.0000 0.0000 0.5000 (multiplicity 3)
Ho1 0.0000 0.0000 0.2506 (multiplicity 6)
Hg1 0.0000 0.0000 0.1255 (multiplicity 6)
Hg2 0.0000 0.0000 0.3755 (multiplicity 6)


Entry 6:
The following is a PBE calculation of crystalline CePmHoHg at its relaxed geometry, from the Alexandria database.

volume	114	Å³/f.u.
crystal system	cubic
energy of formation from the pure elements	-0.010	eV per atom

Cell lengths 7.692, 7.692, 7.692 Å; angles 90.00, 90.00, 90.00 degrees
Space group F-43m (No. 216)
One atom of each set of equivalent atoms:
Ce1 0.000 0.000 0.000 (multiplicity 4)
Pm1 0.250 0.250 0.250 (multiplicity 4)
Ho1 0.000 0.000 0.500 (multiplicity 4)
Hg1 0.250 0.250 0.750 (multiplicity 4)


Entry 7:
The following is a PBE calculation of crystalline CePrHoHg at its relaxed geometry, from the Alexandria database.

volume	112	Å³/f.u.
crystal system	cubic
energy of formation from the pure elements	0.010	eV per atom

Cell lengths 7.651, 7.651, 7.651 Å; angles 90.00, 90.00, 90.00 degrees
Space group F-43m (No. 216)
One atom of each set of equivalent atoms:
Ce1 0.000 0.000 0.000 (multiplicity 4)
Pr1 0.250 0.250 0.250 (multiplicity 4)
Ho1 0.250 0.250 0.750 (multiplicity 4)
Hg1 0.000 0.000 0.500 (multiplicity 4)


Entry 8:
The following is a PBE calculation of crystalline CeHoHgPt at its relaxed geometry, from the Alexandria database.

volume	97	Å³/f.u.
crystal system	cubic
energy of formation from the pure elements	-0.687	eV per atom

Cell lengths 7.286, 7.286, 7.286 Å; angles 90.00, 90.00, 90.00 degrees
Space group F-43m (No. 216)
One atom of each set of equivalent atoms:
Ce1 0.000 0.000 0.000 (multiplicity 4)
Ho1 0.000 0.000 0.500 (multiplicity 4)
Hg1 0.250 0.250 0.250 (multiplicity 4)
Pt1 0.250 0.250 0.750 (multiplicity 4)


Entry 9:
The following is a PBE calculation of crystalline CeHoHgRh at its relaxed geometry, from the Alexandria database.

volume	94	Å³/f.u.
crystal system	cubic
energy of formation from the pure elements	-0.494	eV per atom

Cell lengths 7.225, 7.225, 7.225 Å; angles 90.00, 90.00, 90.00 degrees
Space group F-43m (No. 216)
One atom of each set of equivalent atoms:
Ce1 0.000 0.000 0.000 (multiplicity 4)
Ho1 0.000 0.000 0.500 (multiplicity 4)
Hg1 0.250 0.250 0.250 (multiplicity 4)
Rh1 0.250 0.250 0.750 (multiplicity 4)


Entry 10:
The following is a PBE calculation of crystalline CeHoHgSb at its relaxed geometry, from the Alexandria database.

energy relative to the elements, uncorrected	-2.30	eV/f.u.
volume	108	Å³/f.u.
crystal system	cubic

Cell lengths 7.562, 7.562, 7.562 Å; angles 90.00, 90.00, 90.00 degrees
Space group F-43m (No. 216)
One atom of each set of equivalent atoms:
Ce1 0.000 0.000 0.000 (multiplicity 4)
Ho1 0.000 0.000 0.500 (multiplicity 4)
Hg1 0.250 0.250 0.750 (multiplicity 4)
Sb1 0.250 0.250 0.250 (multiplicity 4)


Entry 11:
The following is a PBE calculation of crystalline CeSmHo2Hg4 at its relaxed geometry, from the Alexandria database.

volume	213	Å³/f.u.
crystal system	trigonal
energy of formation from the pure elements	-0.420	eV per atom

Cell lengths 5.3227, 5.3227, 26.1014 Å; angles 90.00, 90.00, 120.00 degrees
Space group R-3m (No. 166, hexagonal axes)
One atom of each set of equivalent atoms:
Ce1 0.0000 0.0000 0.0000 (multiplicity 3)
Sm1 0.0000 0.0000 0.5000 (multiplicity 3)
Ho1 0.0000 0.0000 0.2507 (multiplicity 6)
Hg1 0.0000 0.0000 0.1259 (multiplicity 6)
Hg2 0.0000 0.0000 0.3761 (multiplicity 6)


Entry 12:
The following is a PBE calculation of crystalline CeSmHoHg at its relaxed geometry, from the Alexandria database.

volume	110	Å³/f.u.
crystal system	cubic
energy of formation from the pure elements	0.010	eV per atom

Cell lengths 7.596, 7.596, 7.596 Å; angles 90.00, 90.00, 90.00 degrees
Space group F-43m (No. 216)
One atom of each set of equivalent atoms:
Ce1 0.000 0.000 0.000 (multiplicity 4)
Sm1 0.250 0.250 0.750 (multiplicity 4)
Ho1 0.250 0.250 0.250 (multiplicity 4)
Hg1 0.000 0.000 0.500 (multiplicity 4)


| no. | energy (eV per atom) |
| --- | --- |
| 1 | -3.887 |
| 2 | -4.392 |
| 3 | -5.855 |
| 4 | -5.704 |
| 5 | -3.050 |
| 6 | -3.901 |
| 7 | -3.889 |
| 8 | -4.900 |
| 9 | -5.036 |
| 10 | -4.309 |
| 11 | -3.047 |
| 12 | -3.873 |